Pr7Sm3 | PBE-GGA | optimized geometry

Energy relative to the elements   0.011 eV per atom
Magnetic moment   0.00 μB/cell
SG   C2/m
Distance to the lowest polymorph of the same formula   0.00 kcal/mol of atoms

abc: 9.771 9.771 7.373
angles: 100.94 100.94 30.92
Fractional positions:
Pr (0.000, 0.000, 0.000)
Pr (0.200, 0.200, 0.601)
Pr (0.399, 0.399, 0.199)
Pr (0.400, 0.400, 0.700)
Pr (0.600, 0.600, 0.300)
Pr (0.601, 0.601, 0.801)
Pr (0.800, 0.800, 0.399)
Sm (0.000, 0.000, 0.500)
Sm (0.201, 0.201, 0.100)
Sm (0.799, 0.799, 0.900)